1.
{"formula": "ErTmF5", "functional": "PBE-GGA", "state": "optimized geometry", "magnetic_moment_mub_per_fu": 0.000, "raw_formation_energy_mev_per_atom": -3845, "mass_density_g_cm3": 6.05, "total_energy_ev_per_atom": -6.47, "dos_ef_per_ev_atom": 0.14, "lattice": [[4.709, -3.587, 0.000], [4.709, 3.587, 0.000], [-3.117, 0.000, 7.009]], "species": ["Er", "Er", "Tm", "Tm", "F", "F", "F", "F", "F", "F", "F", "F", "F", "F"], "frac_coords": [[0.000, 0.000, 0.000], [0.000, 0.000, 0.500], [0.482, 0.518, 0.750], [0.518, 0.482, 0.250], [0.172, 0.828, 0.750], [0.238, 0.266, 0.626], [0.266, 0.238, 0.126], [0.329, 0.670, 0.024], [0.330, 0.671, 0.476], [0.670, 0.329, 0.524], [0.671, 0.330, 0.976], [0.734, 0.762, 0.874], [0.762, 0.734, 0.374], [0.828, 0.172, 0.250]]}



2.
{"formula": "Pu2MgRe", "functional": "PBE-GGA", "state": "optimized geometry", "magnetic_moment_mub_per_fu": 10.268, "ef_ev_per_fu": 0.439, "mass_density_g_cm3": 12.76, "total_energy_ev_per_atom": -10.57, "dos_ef_per_ev_atom": 2.75, "lattice": [[3.210, 0.000, 0.000], [0.000, 3.210, 0.000], [0.000, 0.000, 8.824]], "species": ["Pu", "Pu", "Mg", "Re"], "frac_coords": [[0.000, 0.000, 0.206], [0.000, 0.000, 0.794], [0.500, 0.500, 0.500], [0.500, 0.500, 0.000]]}



3.
{"formula": "Ac6SnTe3Se2", "functional": "PBE-GGA", "state": "optimized geometry", "magnetic_moment_mub_per_fu": 0.000, "raw_formation_energy_mev_per_atom": -1517, "mass_density_g_cm3": 7.75, "total_energy_ev_per_atom": -5.27, "dos_ef_per_ev_atom": 0.51, "lattice": [[4.014, -6.943, 0.000], [4.014, 6.943, 0.000], [-2.669, 0.000, 7.771]], "species": ["Ac", "Ac", "Ac", "Ac", "Ac", "Ac", "Sn", "Te", "Te", "Te", "Se", "Se"], "frac_coords": [[0.084, 0.423, 0.768], [0.238, 0.238, 0.230], [0.423, 0.084, 0.768], [0.577, 0.916, 0.232], [0.762, 0.762, 0.770], [0.916, 0.577, 0.232], [0.500, 0.500, 0.000], [0.000, 0.000, 0.500], [0.336, 0.664, 0.500], [0.664, 0.336, 0.500], [0.167, 0.833, 0.000], [0.833, 0.167, 0.000]]}



4.
{"formula": "SbCl", "functional": "PBE-GGA", "state": "optimized geometry", "magnetic_moment_mub_per_fu": 0.000, "raw_formation_energy_mev_per_atom": -335, "mass_density_g_cm3": 4.80, "total_energy_ev_per_atom": -3.32, "dos_ef_per_ev_atom": 0.51, "de_polymorph_mev_per_atom": 140.4, "lattice": [[3.467, 0.000, 0.000], [-1.733, 3.002, 0.000], [0.000, 0.000, 15.685]], "species": ["Sb", "Sb", "Sb", "Cl", "Cl", "Cl"], "frac_coords": [[0.000, 0.000, 0.000], [0.333, 0.667, 0.667], [0.667, 0.333, 0.333], [0.000, 0.000, 0.846], [0.333, 0.667, 0.512], [0.667, 0.333, 0.179]]}



5.
{"formula": "Cu2TeSe", "functional": "PBE-GGA", "state": "optimized geometry", "magnetic_moment_mub_per_fu": 0.000, "raw_formation_energy_mev_per_atom": 11, "mass_density_g_cm3": 6.46, "total_energy_ev_per_atom": -3.69, "dos_ef_per_ev_atom": 0.63, "de_polymorph_mev_per_atom": 93.1, "lattice": [[3.190, 0.000, 0.000], [0.000, 3.613, 0.000], [0.000, 0.000, 7.444]], "species": ["Cu", "Cu", "Te", "Se"], "frac_coords": [[0.000, 0.000, 0.000], [0.500, 0.500, 0.193], [0.500, 0.500, 0.816], [0.000, 0.000, 0.322]]}



6.
{"formula": "Ga2GeF", "functional": "PBE-GGA", "state": "optimized geometry", "magnetic_moment_mub_per_fu": 0.000, "raw_formation_energy_mev_per_atom": -552, "mass_density_g_cm3": 5.94, "total_energy_ev_per_atom": -3.69, "dos_ef_per_ev_atom": 0.43, "de_polymorph_mev_per_atom": 0.0, "lattice": [[6.370, 0.000, 0.000], [0.000, 6.370, 0.000], [0.000, 0.000, 6.370]], "species": ["Ga", "Ga", "Ga", "Ga", "Ga", "Ga", "Ga", "Ga", "Ge", "Ge", "Ge", "Ge", "F", "F", "F", "F"], "frac_coords": [[0.250, 0.250, 0.250], [0.250, 0.250, 0.750], [0.250, 0.750, 0.250], [0.250, 0.750, 0.750], [0.750, 0.250, 0.250], [0.750, 0.250, 0.750], [0.750, 0.750, 0.250], [0.750, 0.750, 0.750], [0.000, 0.000, 0.000], [0.000, 0.500, 0.500], [0.500, 0.000, 0.500], [0.500, 0.500, 0.000], [0.000, 0.000, 0.500], [0.000, 0.500, 0.000], [0.500, 0.000, 0.000], [0.500, 0.500, 0.500]]}